Model w:
The following is a DFT calculation (GGA-PBE) of a relaxed structure of BaSnB3.

Structure (extended XYZ):
```
5
Lattice="-0.387 -0.293 4.946 -2.095 -4.487 -0.430 4.491 -2.118 0.226" Properties=species:S:1:pos:R:3 pbc="T T T"
B -1.047 -2.243 -0.215
B 2.245 -1.059 0.113
B -0.194 -0.146 2.473
Ba 0.000 0.000 0.000
Sn 1.005 -3.449 2.371
```

Values from the calculation:
Space-group type = Pm-3m
N(E_F) = 0.622 states/eV/atom

=====

Model x:
The following is a DFT calculation (GGA-PBE) of a relaxed structure of BaSnB3.

Structure (extended XYZ):
```
5
Lattice="-2.182 -1.316 -3.902 3.409 -3.055 -0.876 -2.310 -3.264 2.393" Properties=species:S:1:pos:R:3 pbc="T T T"
B 1.704 -1.527 -0.438
B -1.155 -1.632 1.196
B -1.091 -0.658 -1.951
Ba -0.542 -3.817 -1.193
Sn 0.000 0.000 0.000
```

Values from the calculation:
Space-group type = Pm-3m
N(E_F) = 0.557 states/eV/atom

=====

Stability, highest: model x

=====

Model w:
The following is a DFT calculation (GGA-PBE) of a relaxed structure of Ba3SrB.

Structure (extended XYZ):
```
5
Lattice="6.249 0.000 0.000 0.000 6.249 0.000 0.000 0.000 6.249" Properties=species:S:1:pos:R:3 pbc="T T T"
Sr 3.124 3.124 3.124
B 0.000 0.000 0.000
Ba 0.000 3.124 0.000
Ba 0.000 0.000 3.124
Ba 3.124 0.000 0.000
```

Values from the calculation:
Space-group type = Pm-3m
N(E_F) = 1.503 states/eV/atom

=====

Model x:
The following is a DFT calculation (GGA-PBE) of a relaxed structure of Ba3SrB.

Structure (extended XYZ):
```
5
Lattice="6.791 0.000 0.000 0.000 6.791 0.000 0.000 0.000 6.791" Properties=species:S:1:pos:R:3 pbc="T T T"
Sr 0.000 0.000 0.000
B 3.396 3.396 3.396
Ba 0.000 3.396 0.000
Ba 0.000 0.000 3.396
Ba 3.396 0.000 0.000
```

Values from the calculation:
Space-group type = Pm-3m
N(E_F) = 1.422 states/eV/atom

=====

Stability, highest: model w

=====

Model w:
The following is a DFT calculation (GGA-PBE) of a relaxed structure of BaSrB2.

Structure (extended XYZ):
```
4
Lattice="3.162 -1.451 3.754 -0.518 -4.621 2.140 3.505 -3.629 -0.865" Properties=species:S:1:pos:R:3 pbc="T T T"
Sr 0.000 0.000 0.000
B 1.537 -2.425 1.257
B 4.612 -7.276 3.772
Ba 3.075 -4.850 2.514
```

Values from the calculation:
Space-group type = Fm-3m
N(E_F) = 0.869 states/eV/atom

=====

Model x:
The following is a DFT calculation (GGA-PBE) of a relaxed structure of BaSrB2.

Structure (extended XYZ):
```
8
Lattice="7.762 0.000 0.000 0.000 7.762 0.000 3.881 3.881 3.919" Properties=species:S:1:pos:R:3 pbc="T T T"
Sr 3.881 3.881 0.000
Sr 3.881 7.762 1.960
B 5.714 1.941 0.980
B 2.048 5.822 0.980
B 5.822 5.930 2.939
B 9.703 9.595 2.939
Ba 0.000 0.000 0.000
Ba 7.762 3.881 1.960
```

Values from the calculation:
Space-group type = I-42d
N(E_F) = 0.908 states/eV/atom

=====

Stability, highest: model w

=====

Model w:
The following is a DFT calculation (GGA-PBE) of a relaxed structure of BaTcB3.

Structure (extended XYZ):
```
5
Lattice="4.493 0.000 0.000 0.000 4.493 0.000 0.000 0.000 4.493" Properties=species:S:1:pos:R:3 pbc="T T T"
B 0.000 2.246 0.000
B 0.000 0.000 2.246
B 2.246 0.000 0.000
Ba 0.000 0.000 0.000
Tc 2.246 2.246 2.246
```

Values from the calculation:
Space-group type = Pm-3m
N(E_F) = 2.842 states/eV/atom

=====

Model x:
The following is a DFT calculation (GGA-PBE) of a relaxed structure of BaTcB3.

Structure (extended XYZ):
```
5
Lattice="4.307 0.000 0.000 0.000 4.307 0.000 0.000 0.000 4.307" Properties=species:S:1:pos:R:3 pbc="T T T"
B 0.000 2.153 0.000
B 0.000 0.000 2.153
B 2.153 0.000 0.000
Ba 2.153 2.153 2.153
Tc 0.000 0.000 0.000
```

Values from the calculation:
Space-group type = Pm-3m
N(E_F) = 0.255 states/eV/atom

=====

Stability, highest: model x

=====

Model w:
The following is a DFT calculation (GGA-PBE) of a relaxed structure of BaTcB2.

Structure (extended XYZ):
```
4
Lattice="0.907 -0.460 4.446 -3.393 0.128 3.045 -1.236 -3.800 2.199" Properties=species:S:1:pos:R:3 pbc="T T T"
B -0.930 -1.033 2.423
B -2.791 -3.099 7.268
Ba -1.861 -2.066 4.845
Tc 0.000 0.000 0.000
```

Values from the calculation:
Space-group type = Fm-3m
N(E_F) = 0.636 states/eV/atom

=====

Model x:
The following is a DFT calculation (GGA-PBE) of a relaxed structure of BaTcB2.

Structure (extended XYZ):
```
8
Lattice="5.504 0.000 0.000 0.000 5.504 0.000 2.752 2.752 5.793" Properties=species:S:1:pos:R:3 pbc="T T T"
B 2.752 1.376 1.448
B 2.752 4.128 1.448
B 4.128 5.504 4.344
B 6.880 5.504 4.344
Ba 0.000 0.000 0.000
Ba 5.504 2.752 2.896
Tc 2.752 2.752 0.000
Tc 2.752 5.504 2.896
```

Values from the calculation:
Space-group type = I4_1/amd
N(E_F) = 0.597 states/eV/atom

=====

Stability, highest: model x

=====

Model w:
The following is a DFT calculation (GGA-PBE) of a relaxed structure of Ba2BTe.

Structure (extended XYZ):
```
8
Lattice="-6.925 3.547 3.196 -4.112 -7.292 -0.817 -4.179 -3.106 5.460" Properties=species:S:1:pos:R:3 pbc="T T T"
B -5.519 -1.872 1.190
B -6.905 -6.135 2.917
Te 0.000 0.000 0.000
Te -8.311 -0.716 4.923
Ba -5.594 0.379 3.126
Ba -4.774 -4.741 1.389
Ba -7.447 -4.043 4.953
Ba -12.618 -5.298 6.212
```

Values from the calculation:
Space-group type = I-42d
N(E_F) = 0.001 states/eV/atom

=====

Model x:
The following is a DFT calculation (GGA-PBE) of a relaxed structure of Ba2BTe.

Structure (extended XYZ):
```
4
Lattice="1.861 -5.485 -0.079 2.740 -2.195 4.608 -2.608 -3.991 3.291" Properties=species:S:1:pos:R:3 pbc="T T T"
B 0.000 0.000 0.000
Te 0.996 -5.836 3.910
Ba 0.498 -2.918 1.955
Ba 1.495 -8.754 5.865
```

Values from the calculation:
Space-group type = Fm-3m
N(E_F) = 0.233 states/eV/atom

=====

Stability, highest: model w

=====

Model w:
The following is a DFT calculation (GGA-PBE) of a relaxed structure of BaTl2B.

Structure (extended XYZ):
```
8
Lattice="7.250 0.000 0.000 0.000 7.250 0.000 3.625 3.625 5.117" Properties=species:S:1:pos:R:3 pbc="T T T"
Tl 4.041 1.813 1.279
Tl 3.209 5.438 1.279
Tl 5.438 6.835 3.838
Tl 9.063 7.666 3.838
B 3.625 3.625 0.000
B 3.625 7.250 2.558
Ba 0.000 0.000 0.000
Ba 7.250 3.625 2.558
```

Values from the calculation:
Space-group type = I-42d
N(E_F) = 0.160 states/eV/atom

=====

Model x:
The following is a DFT calculation (GGA-PBE) of a relaxed structure of BaTl2B.

Structure (extended XYZ):
```
4
Lattice="0.000 3.849 3.849 3.849 0.000 3.849 3.849 3.849 0.000" Properties=species:S:1:pos:R:3 pbc="T T T"
Tl 1.924 1.924 1.924
Tl 5.773 5.773 5.773
B 0.000 0.000 0.000
Ba 3.849 3.849 3.849
```

Values from the calculation:
Space-group type = Fm-3m
N(E_F) = 0.707 states/eV/atom

=====

Stability, highest: model w

=====

Model w:
The following is a DFT calculation (GGA-PBE) of a relaxed structure of Ba2TlB.

Structure (extended XYZ):
```
8
Lattice="12.061 0.000 0.000 0.000 12.061 0.000 6.031 6.031 2.241" Properties=species:S:1:pos:R:3 pbc="T T T"
Tl 0.000 0.000 0.000
Tl 12.061 6.031 1.120
B 6.031 6.031 0.000
B 6.031 12.061 1.120
Ba 6.768 3.015 0.560
Ba 5.293 9.046 0.560
Ba 9.046 11.324 1.680
Ba 15.077 12.799 1.680
```

Values from the calculation:
Space-group type = I-42d
N(E_F) = 0.896 states/eV/atom

=====

Model x:
The following is a DFT calculation (GGA-PBE) of a relaxed structure of Ba2TlB.

Structure (extended XYZ):
```
4
Lattice="-0.655 3.632 4.386 -5.213 1.979 1.328 -2.591 -1.747 4.805" Properties=species:S:1:pos:R:3 pbc="T T T"
Tl -4.229 1.932 5.260
B 0.000 0.000 0.000
Ba -2.115 0.966 2.630
Ba -6.344 2.898 7.890
```

Values from the calculation:
Space-group type = Fm-3m
N(E_F) = 0.472 states/eV/atom

=====

Stability, highest: model w